La2VN3 | PBE | relaxed

Properties
Total magnetization in μB/cell: 0.00
Final energy in eV per cell: -101.1
Volume in Å³ per atom: 14.8
Formation energy from raw total energies in meV per atom: -1101
Polymorph energy (0 for the lowest one) in meV/atom: 173
Symmetry: C2/c

Cell lengths 5.8479, 5.8479, 5.5584 Å; angles 90.21, 90.21, 69.31 degrees
Positions (direct):
1 La 0.0090 0.3298 0.2490
2 La 0.3298 0.0090 0.7490
3 La 0.6702 0.9910 0.2510
4 La 0.9910 0.6702 0.7510
5 V 0.4112 0.5888 0.2500
6 V 0.5888 0.4112 0.7500
7 N 0.1410 0.8590 0.2500
8 N 0.3523 0.3535 0.5001
9 N 0.3535 0.3523 0.0001
10 N 0.6465 0.6477 0.9999
11 N 0.6477 0.6465 0.4999
12 N 0.8590 0.1410 0.7500

---

La4VN5 | PBE | relaxed

Properties
Total magnetization in μB/cell: 0.00
Final energy in eV per cell: -82.1
Volume in Å³ per atom: 16.6
Formation energy from raw total energies in meV per atom: -1162
Symmetry: I4

Cell lengths 6.1717, 6.1717, 6.1717 Å; angles 100.88, 100.88, 128.49 degrees
Positions (direct):
1 La 0.1124 0.3053 0.4177
2 La 0.3053 0.8876 0.1929
3 La 0.6947 0.1124 0.8071
4 La 0.8876 0.6947 0.5823
5 V 0.5725 0.5725 0.0000
6 N 0.2536 0.5955 0.8315
7 N 0.4222 0.2536 0.6581
8 N 0.5955 0.7640 0.3419
9 N 0.7640 0.4222 0.1685
10 N 0.8985 0.8985 0.0000

---

LaVN | PBE | relaxed

Properties
Total magnetization in μB/cell: 0.00
Final energy in eV per cell: -48.8
Volume in Å³ per atom: 17.3
Formation energy from raw total energies in meV per atom: -675
Symmetry: P4/nmm

Cell lengths 3.3760, 3.3760, 9.1171 Å; angles 90.00, 90.00, 90.00 degrees
Positions (direct):
1 La 0.2500 0.2500 0.2060
2 La 0.7500 0.7500 0.7940
3 V 0.2500 0.7500 0.5000
4 V 0.7500 0.2500 0.5000
5 N 0.2500 0.2500 0.6477
6 N 0.7500 0.7500 0.3523

---

La3WN5 | PBE | relaxed

Properties
Total magnetization in μB/cell: 0.00
Final energy in eV per cell: -160.7
Volume in Å³ per atom: 15.9
Formation energy from raw total energies in meV per atom: -1222
Symmetry: I4/mcm

Cell lengths 7.6976, 7.6976, 7.6976 Å; angles 126.20, 126.20, 79.55 degrees
Positions (direct):
1 La 0.1797 0.6797 0.8593
2 La 0.2500 0.2500 0.0000
3 La 0.3203 0.1797 0.5000
4 La 0.6797 0.8203 0.5000
5 La 0.7500 0.7500 0.0000
6 La 0.8203 0.3203 0.1407
7 W 0.2500 0.7500 0.5000
8 W 0.7500 0.2500 0.5000
9 N 0.0000 0.0000 0.0000
10 N 0.0026 0.8038 0.5000
11 N 0.1962 0.6962 0.1988
12 N 0.3038 0.5026 0.5000
13 N 0.4974 0.9974 0.8012
14 N 0.5000 0.5000 0.0000
15 N 0.5026 0.0026 0.1988
16 N 0.6962 0.4974 0.5000
17 N 0.8038 0.3038 0.8012
18 N 0.9974 0.1962 0.5000